# Tl2BiCl, relaxed, DFT PBE
# * ΔE_f (raw): -0.36 eV/atom
# * ΔE to the lowest computed polymorph: 1.5 kJ/mol of atoms
# * uncorrected energy: -11.9 eV/cell
data_Tl2BiCl
_cell_length_a 5.754
_cell_length_b 5.754
_cell_length_c 3.632
_cell_angle_alpha 90.00
_cell_angle_beta 90.00
_cell_angle_gamma 90.00
_symmetry_space_group_name_H-M 'P 4/m m m'
_symmetry_Int_Tables_number 123
_symmetry_space_group_name_Hall '-P 4 2'
loop_
_atom_site_label
_atom_site_type_symbol
_atom_site_fract_x
_atom_site_fract_y
_atom_site_fract_z
Tl1 Tl 0.000 0.500 0.000
Bi1 Bi 0.000 0.000 0.500
Cl1 Cl 0.500 0.500 0.500